DFT (GGA-PBE) results for a relaxed structure of ZnTeSe2.

a = 3.795 Å, b = 3.795 Å, c = 8.992 Å
α = 90.00°, β = 90.00°, γ = 90.00°
Fractional positions:
Zn: 0.000 0.000 0.000
Te: 0.500 0.500 0.000
Se: 0.000 0.500 0.500
Se: 0.500 0.000 0.500

Formation energy (no corrections) ... 0.131 eV/atom
Volume ... 129.5 Å³/f.u.
Space group ... P4/mmm
M_tot ... 0.00 μB per formula unit

DFT (GGA-PBE) results for a relaxed structure of BeAl3Sn.

a = 5.257 Å, b = 5.257 Å, c = 5.257 Å
α = 90.00°, β = 90.00°, γ = 90.00°
Fractional positions:
Be: 0.000 0.000 0.000
Al: 0.000 0.500 0.500
Al: 0.500 0.000 0.500
Al: 0.500 0.500 0.000
Sn: 0.500 0.500 0.500

Energy of formation from the pure elements ... 1.320 eV/atom
Volume ... 145.3 Å³/f.u.
Space group ... Pm-3m
M_tot ... 0.00 μB per formula unit

DFT (GGA-PBE) results for a relaxed structure of Sm2AgH.

a = 3.732 Å, b = 3.732 Å, c = 22.186 Å
α = 90.00°, β = 90.00°, γ = 120.00°
Fractional positions:
Sm: 0.000 0.000 0.230
Sm: 0.000 0.000 0.770
Sm: 0.333 0.667 0.437
Sm: 0.333 0.667 0.896
Sm: 0.667 0.333 0.104
Sm: 0.667 0.333 0.563
Ag: 0.000 0.000 0.000
Ag: 0.333 0.667 0.667
Ag: 0.667 0.333 0.333
H: 0.000 0.000 0.500
H: 0.333 0.667 0.167
H: 0.667 0.333 0.833

Volume ... 89.2 Å³/f.u.
Space group ... R-3m
M_tot ... 0.00 μB per formula unit
E ... -4.077 eV/atom